(1)
Material: LaLuCdSn
Method: DFT, GGA-PBE
State: relaxed

Output
Energy of formation: -0.49 eV/atom
Space group: No. 216
Total DFT energy (no corrections): -0.1499 Ha/atom

abc: 5.3803 5.3803 5.3803
angles: 60.00 60.00 60.00
Element x y z (fractional)
La 0.0000 0.0000 0.0000
Lu 0.5000 0.5000 0.5000
Cd 0.7500 0.7500 0.7500
Sn 0.2500 0.2500 0.2500

(2)
Material: HoEr3Al
Method: DFT, GGA-PBE
State: relaxed

Output
Energy of formation: 0.02 eV/atom
Space group: No. 15
Total DFT energy (no corrections): -0.1611 Ha/atom

abc: 9.4045 9.4045 6.6140
angles: 96.51 96.51 90.07
Element x y z (fractional)
Ho 0.0754 0.7124 0.8657
Ho 0.2876 0.9246 0.6343
Ho 0.7124 0.0754 0.3657
Ho 0.9246 0.2876 0.1343
Er 0.0302 0.1786 0.6174
Er 0.1786 0.0302 0.1174
Er 0.1902 0.5064 0.4816
Er 0.2347 0.4045 0.9752
Er 0.4045 0.2347 0.4752
Er 0.4936 0.8098 0.0184
Er 0.5064 0.1902 0.9816
Er 0.5955 0.7653 0.5248
Er 0.7653 0.5955 0.0248
Er 0.8098 0.4936 0.5184
Er 0.8214 0.9698 0.8826
Er 0.9698 0.8214 0.3826
Al 0.2775 0.7225 0.2500
Al 0.4943 0.5057 0.7500
Al 0.5057 0.4943 0.2500
Al 0.7225 0.2775 0.7500